[1]
First-principles (PBE) data for crystalline RbBaZnHg at its relaxed geometry, as listed in Alexandria.

Summary:
Calculated formation energy   -105 meV per atom
Calculated total energy   -1.22 eV per atom
Fermi-level density of states   0.90 states/eV per atom
Total moment   0.000 μB per atom
SG   No. 216
Crystal system   cubic

Cell lengths 8.4331, 8.4331, 8.4331 Å; angles 90.00, 90.00, 90.00 degrees
Closest atoms and distances in Å follow each position.
Positions (direct):
Rb 0.0000 0.0000 0.0000  4 Hg 3.65, 4 Zn 3.65
Rb 0.0000 0.5000 0.5000  4 Hg 3.65, 4 Zn 3.65
Rb 0.5000 0.0000 0.5000  4 Hg 3.65, 4 Zn 3.65
Rb 0.5000 0.5000 0.0000  4 Hg 3.65, 4 Zn 3.65
Ba 0.0000 0.0000 0.5000  4 Hg 3.65, 4 Zn 3.65
Ba 0.0000 0.5000 0.0000  4 Hg 3.65, 4 Zn 3.65
Ba 0.5000 0.0000 0.0000  4 Hg 3.65, 4 Zn 3.65
Ba 0.5000 0.5000 0.5000  4 Hg 3.65, 4 Zn 3.65
Zn 0.2500 0.2500 0.7500  4 Rb 3.65, 4 Ba 3.65
Zn 0.2500 0.7500 0.2500  4 Rb 3.65, 4 Ba 3.65
Zn 0.7500 0.2500 0.2500  4 Rb 3.65, 4 Ba 3.65
Zn 0.7500 0.7500 0.7500  4 Rb 3.65, 4 Ba 3.65
Hg 0.2500 0.2500 0.2500  4 Ba 3.65, 4 Rb 3.65
Hg 0.2500 0.7500 0.7500  4 Ba 3.65, 4 Rb 3.65
Hg 0.7500 0.2500 0.7500  4 Ba 3.65, 4 Rb 3.65
Hg 0.7500 0.7500 0.2500  4 Ba 3.65, 4 Rb 3.65

[2]
First-principles (PBE) data for crystalline BaRe3Hg at its relaxed geometry, as listed in Alexandria.

Summary:
Calculated formation energy   2700 meV per atom
Calculated total energy   -5.21 eV per atom
Fermi-level density of states   2.15 states/eV per atom
Total moment   1.378 μB per atom
SG   No. 221
Crystal system   cubic

Cell lengths 5.1154, 5.1154, 5.1154 Å; angles 90.00, 90.00, 90.00 degrees
Closest atoms and distances in Å follow each position.
Positions (direct):
Ba 0.0000 0.0000 0.0000  12 Re 3.62
Re 0.0000 0.5000 0.5000  2 Hg 2.56
Re 0.5000 0.0000 0.5000  2 Hg 2.56
Re 0.5000 0.5000 0.0000  2 Hg 2.56
Hg 0.5000 0.5000 0.5000  6 Re 2.56

[3]
First-principles (PBE) data for crystalline BaReHg at its relaxed geometry, as listed in Alexandria.

Summary:
Calculated formation energy   1184 meV per atom
Calculated total energy   -3.71 eV per atom
Fermi-level density of states   1.44 states/eV per atom
Total moment   0.000 μB per atom
SG   No. 156
Crystal system   trigonal

Cell lengths 3.1275, 3.1275, 8.3565 Å; angles 90.00, 90.00, 120.00 degrees
Closest atoms and distances in Å follow each position.
Positions (direct):
Ba 0.0000 0.0000 0.0000  6 Ba 3.13, 3 Re 3.38
Re 0.3333 0.6667 0.6587  3 Hg 2.98, 6 Re 3.13
Hg 0.6667 0.3333 0.3753  3 Re 2.98, 6 Hg 3.13

[4]
First-principles (PBE) data for crystalline BaReHg at its relaxed geometry, as listed in Alexandria.

Summary:
Calculated formation energy   1639 meV per atom
Calculated total energy   -3.25 eV per atom
Fermi-level density of states   0.56 states/eV per atom
Total moment   1.062 μB per atom
SG   No. 216
Crystal system   cubic

Cell lengths 7.5849, 7.5849, 7.5849 Å; angles 90.00, 90.00, 90.00 degrees
Closest atoms and distances in Å follow each position.
Positions (direct):
Ba 0.0000 0.0000 0.0000  4 Hg 3.28, 4 Re 3.28
Ba 0.0000 0.5000 0.5000  4 Hg 3.28, 4 Re 3.28
Ba 0.5000 0.0000 0.5000  4 Hg 3.28, 4 Re 3.28
Ba 0.5000 0.5000 0.0000  4 Hg 3.28, 4 Re 3.28
Re 0.2500 0.2500 0.7500  4 Ba 3.28
Re 0.2500 0.7500 0.2500  4 Ba 3.28
Re 0.7500 0.2500 0.2500  4 Ba 3.28
Re 0.7500 0.7500 0.7500  4 Ba 3.28
Hg 0.2500 0.2500 0.2500  4 Ba 3.28
Hg 0.2500 0.7500 0.7500  4 Ba 3.28
Hg 0.7500 0.2500 0.7500  4 Ba 3.28
Hg 0.7500 0.7500 0.2500  4 Ba 3.28

[5]
First-principles (PBE) data for crystalline BaReHg at its relaxed geometry, as listed in Alexandria.

Summary:
Calculated formation energy   1202 meV per atom
Calculated total energy   -3.69 eV per atom
Fermi-level density of states   0.47 states/eV per atom
Total moment   0.964 μB per atom
SG   No. 216
Crystal system   cubic

Cell lengths 7.2136, 7.2136, 7.2136 Å; angles 90.00, 90.00, 90.00 degrees
Closest atoms and distances in Å follow each position.
Positions (direct):
Ba 0.0000 0.0000 0.0000  4 Re 3.12
Ba 0.0000 0.5000 0.5000  4 Re 3.12
Ba 0.5000 0.0000 0.5000  4 Re 3.12
Ba 0.5000 0.5000 0.0000  4 Re 3.12
Re 0.2500 0.2500 0.7500  4 Hg 3.12, 4 Ba 3.12
Re 0.2500 0.7500 0.2500  4 Hg 3.12, 4 Ba 3.12
Re 0.7500 0.2500 0.2500  4 Hg 3.12, 4 Ba 3.12
Re 0.7500 0.7500 0.7500  4 Hg 3.12, 4 Ba 3.12
Hg 0.0000 0.0000 0.5000  4 Re 3.12
Hg 0.0000 0.5000 0.0000  4 Re 3.12
Hg 0.5000 0.0000 0.0000  4 Re 3.12
Hg 0.5000 0.5000 0.5000  4 Re 3.12

[6]
First-principles (PBE) data for crystalline BaRe3Hg at its relaxed geometry, as listed in Alexandria.

Summary:
Calculated formation energy   3832 meV per atom
Calculated total energy   -4.08 eV per atom
Fermi-level density of states   1.30 states/eV per atom
Total moment   0.862 μB per atom
SG   No. 221
Crystal system   cubic

Cell lengths 5.0587, 5.0587, 5.0587 Å; angles 90.00, 90.00, 90.00 degrees
Closest atoms and distances in Å follow each position.
Positions (direct):
Ba 0.0000 0.0000 0.0000  6 Re 2.53
Re 0.0000 0.0000 0.5000  2 Ba 2.53
Re 0.0000 0.5000 0.0000  2 Ba 2.53
Re 0.5000 0.0000 0.0000  2 Ba 2.53
Hg 0.5000 0.5000 0.5000  12 Re 3.58

[7]
First-principles (PBE) data for crystalline BaReHg at its relaxed geometry, as listed in Alexandria.

Summary:
Calculated formation energy   1038 meV per atom
Calculated total energy   -3.85 eV per atom
Fermi-level density of states   1.24 states/eV per atom
Total moment   0.001 μB per atom
SG   No. 187
Crystal system   hexagonal

Cell lengths 5.3020, 5.3020, 3.0624 Å; angles 90.00, 90.00, 120.00 degrees
Closest atoms and distances in Å follow each position.
Positions (direct):
Ba 0.0000 0.0000 0.0000  2 Ba 3.06, 6 Re 3.42, 6 Hg 3.42
Re 0.3333 0.6667 0.5000  3 Hg 3.06, 2 Re 3.06, 6 Ba 3.42
Hg 0.6667 0.3333 0.5000  3 Re 3.06, 2 Hg 3.06, 6 Ba 3.42

[8]
First-principles (PBE) data for crystalline BaReHg at its relaxed geometry, as listed in Alexandria.

Summary:
Calculated formation energy   904 meV per atom
Calculated total energy   -3.99 eV per atom
Fermi-level density of states   1.20 states/eV per atom
Total moment   0.000 μB per atom
SG   No. 44
Crystal system   orthorhombic

Cell lengths 3.1117, 4.3530, 11.6206 Å; angles 90.00, 90.00, 90.00 degrees
Closest atoms and distances in Å follow each position.
Positions (direct):
Ba 0.0000 0.0000 0.0000  2 Ba 3.11, 1 Hg 3.28, 1 Re 3.38
Ba 0.5000 0.5000 0.5000  2 Ba 3.11, 1 Hg 3.28, 1 Re 3.38
Re 0.0000 0.0000 0.2910  4 Hg 2.81, 2 Re 3.11
Re 0.5000 0.5000 0.7910  4 Hg 2.81, 2 Re 3.11
Hg 0.0000 0.0000 0.7180  4 Re 2.81, 2 Hg 3.11
Hg 0.5000 0.5000 0.2180  4 Re 2.81, 2 Hg 3.11

Q: Among the records above, which one has the highest total moment?
A: number 2

Q: Among the records above, which one has the highest Fermi-level density of states?
A: number 2